Below is a relaxed Hg2Pb2Se crystal, with properties calculated at the GGA-PBE level.

The space group is P4/mbm (No. 127) and the conventional cell measures 8.060, 8.060 and 4.625 Å, with angles of 90.00, 90.00 and 90.00 degrees. The distinct sites, in fractional coordinates, are Hg at (0.147, 0.353, 0.000), Pb at (0.165, 0.665, 0.500) and Se at (0.000, 0.000, 0.500).

The energy above the most stable polymorph in this dataset is 0.0000 eV/atom. The calculated volume comes out at 150 Å³/f.u. The uncorrected formation energy comes out at -0.0485 eV/atom. The calculation puts the electronic total energy at -2.3495 eV/atom. The crystal system is tetragonal.